Record 1
# Sb2RhSe | the Alexandria database | PBEsol | optimized geometry
data_Sb2RhSe
_chemical_formula_sum 'Sb2 Rh1 Se1'
_space_group_name_H-M_alt 'P 1'
_space_group_IT_number 1
_space_group_name_Hall 'P 1'
_cell_length_a 3.720
_cell_length_b 3.720
_cell_length_c 7.464
_cell_angle_alpha 75.57
_cell_angle_beta 75.57
_cell_angle_gamma 60.00
loop_
_atom_site_label
_atom_site_type_symbol
_atom_site_fract_x
_atom_site_fract_y
_atom_site_fract_z
Rh1 Rh 0.500 0.500 0.500
Sb1 Sb 0.761 0.761 0.718
Sb2 Sb 0.239 0.239 0.282
Se1 Se 0.000 0.000 0.000
# ρ (Mg/m³): 8.25
# Formation energy (no corrections) (eV per atom): -0.209
# Electronic total energy (eV per atom): -5.48


Record 2
# SbRh3Se | the Alexandria database | PBEsol | optimized geometry
data_SbRh3Se
_chemical_formula_sum 'Sb1 Rh3 Se1'
_space_group_name_H-M_alt 'P 1'
_space_group_IT_number 1
_space_group_name_Hall 'P 1'
_cell_length_a 4.542
_cell_length_b 4.542
_cell_length_c 4.542
_cell_angle_alpha 90.00
_cell_angle_beta 90.00
_cell_angle_gamma 90.00
loop_
_atom_site_label
_atom_site_type_symbol
_atom_site_fract_x
_atom_site_fract_y
_atom_site_fract_z
Sb1 Sb 0.500 0.500 0.500
Rh1 Rh 0.000 0.500 0.000
Rh2 Rh 0.000 0.000 0.500
Rh3 Rh 0.500 0.000 0.000
Se1 Se 0.000 0.000 0.000
# ρ (Mg/m³): 9.03
# Formation energy (no corrections) (eV per atom): 0.424
# Electronic total energy (eV per atom): -6.14


Record 3
# SbRhSe | the Alexandria database | PBEsol | optimized geometry
data_SbRhSe
_chemical_formula_sum 'Sb4 Rh4 Se4'
_space_group_name_H-M_alt 'P 1'
_space_group_IT_number 1
_space_group_name_Hall 'P 1'
_cell_length_a 6.162
_cell_length_b 6.162
_cell_length_c 6.162
_cell_angle_alpha 90.00
_cell_angle_beta 90.00
_cell_angle_gamma 90.00
loop_
_atom_site_label
_atom_site_type_symbol
_atom_site_fract_x
_atom_site_fract_y
_atom_site_fract_z
Sb1 Sb 0.875 0.625 0.375
Sb2 Sb 0.375 0.875 0.625
Sb3 Sb 0.125 0.125 0.125
Sb4 Sb 0.625 0.375 0.875
Rh1 Rh 0.744 0.244 0.256
Rh2 Rh 0.244 0.256 0.744
Rh3 Rh 0.256 0.744 0.244
Rh4 Rh 0.756 0.756 0.756
Se1 Se 0.372 0.372 0.372
Se2 Se 0.128 0.628 0.872
Se3 Se 0.872 0.128 0.628
Se4 Se 0.628 0.872 0.128
# ρ (Mg/m³): 8.62
# Formation energy (no corrections) (eV per atom): -0.598
# Electronic total energy (eV per atom): -6.11


Record 4
# SbRhSe2 | the Alexandria database | PBEsol | optimized geometry
data_SbRhSe2
_chemical_formula_sum 'Sb1 Rh1 Se2'
_space_group_name_H-M_alt 'P 1'
_space_group_IT_number 1
_space_group_name_Hall 'P 1'
_cell_length_a 3.530
_cell_length_b 4.211
_cell_length_c 5.405
_cell_angle_alpha 89.98
_cell_angle_beta 90.00
_cell_angle_gamma 90.00
loop_
_atom_site_label
_atom_site_type_symbol
_atom_site_fract_x
_atom_site_fract_y
_atom_site_fract_z
Rh1 Rh 0.500 0.500 0.000
Sb1 Sb 0.000 0.000 0.500
Se1 Se 0.000 0.000 0.000
Se2 Se 0.500 0.500 0.500
# ρ (Mg/m³): 7.91
# Formation energy (no corrections) (eV per atom): 0.086
# Electronic total energy (eV per atom): -5.01


Record 5
# SmSbRh | the Alexandria database | PBEsol | optimized geometry
data_SmSbRh
_chemical_formula_sum 'Sm4 Sb4 Rh4'
_space_group_name_H-M_alt 'P 1'
_space_group_IT_number 1
_space_group_name_Hall 'P 1'
_cell_length_a 4.551
_cell_length_b 7.206
_cell_length_c 7.795
_cell_angle_alpha 90.00
_cell_angle_beta 90.00
_cell_angle_gamma 90.00
loop_
_atom_site_label
_atom_site_type_symbol
_atom_site_fract_x
_atom_site_fract_y
_atom_site_fract_z
Sb1 Sb 0.250 0.689 0.590
Sb2 Sb 0.750 0.311 0.410
Sb3 Sb 0.750 0.811 0.090
Sb4 Sb 0.250 0.189 0.910
Rh1 Rh 0.250 0.304 0.584
Rh2 Rh 0.750 0.696 0.416
Rh3 Rh 0.750 0.196 0.084
Rh4 Rh 0.250 0.804 0.916
Sm1 Sm 0.250 0.511 0.199
Sm2 Sm 0.750 0.489 0.801
Sm3 Sm 0.750 0.989 0.699
Sm4 Sm 0.250 0.011 0.301
# ρ (Mg/m³): 9.75
# Formation energy (no corrections) (eV per atom): -1.015
# Electronic total energy (eV per atom): -6.94


Record 6
# TaSnSbRh2 | the Alexandria database | PBEsol | optimized geometry
data_TaSnSbRh2
_chemical_formula_sum 'Ta1 Sn1 Sb1 Rh2'
_space_group_name_H-M_alt 'P 1'
_space_group_IT_number 1
_space_group_name_Hall 'P 1'
_cell_length_a 4.720
_cell_length_b 4.720
_cell_length_c 5.088
_cell_angle_alpha 90.00
_cell_angle_beta 90.00
_cell_angle_gamma 90.00
loop_
_atom_site_label
_atom_site_type_symbol
_atom_site_fract_x
_atom_site_fract_y
_atom_site_fract_z
Sb1 Sb 0.500 0.500 0.500
Rh1 Rh 0.000 0.500 0.000
Rh2 Rh 0.500 0.000 0.000
Sn1 Sn 0.000 0.000 0.000
Ta1 Ta 0.000 0.000 0.500
# ρ (Mg/m³): 9.19
# Formation energy (no corrections) (eV per atom): 1.280
# Electronic total energy (eV per atom): -6.25


Record 7
# Sr3SbRh | the Alexandria database | PBEsol | optimized geometry
data_Sr3SbRh
_chemical_formula_sum 'Sr3 Sb1 Rh1'
_space_group_name_H-M_alt 'P 1'
_space_group_IT_number 1
_space_group_name_Hall 'P 1'
_cell_length_a 5.548
_cell_length_b 5.548
_cell_length_c 5.548
_cell_angle_alpha 90.00
_cell_angle_beta 90.00
_cell_angle_gamma 90.00
loop_
_atom_site_label
_atom_site_type_symbol
_atom_site_fract_x
_atom_site_fract_y
_atom_site_fract_z
Sb1 Sb 0.500 0.500 0.500
Rh1 Rh 0.000 0.000 0.000
Sr1 Sr 0.000 0.500 0.000
Sr2 Sr 0.000 0.000 0.500
Sr3 Sr 0.500 0.000 0.000
# ρ (Mg/m³): 4.74
# Formation energy (no corrections) (eV per atom): -0.408
# Electronic total energy (eV per atom): -4.05


Record 8
# TaSb2Rh | the Alexandria database | PBEsol | optimized geometry
data_TaSb2Rh
_chemical_formula_sum 'Ta1 Sb2 Rh1'
_space_group_name_H-M_alt 'P 1'
_space_group_IT_number 1
_space_group_name_Hall 'P 1'
_cell_length_a 3.090
_cell_length_b 3.090
_cell_length_c 10.434
_cell_angle_alpha 81.48
_cell_angle_beta 81.48
_cell_angle_gamma 60.00
loop_
_atom_site_label
_atom_site_type_symbol
_atom_site_fract_x
_atom_site_fract_y
_atom_site_fract_z
Rh1 Rh 0.243 0.243 0.271
Sb1 Sb 0.978 0.978 0.066
Sb2 Sb 0.768 0.768 0.696
Ta1 Ta 0.511 0.511 0.467
# ρ (Mg/m³): 10.30
# Formation energy (no corrections) (eV per atom): -0.023
# Electronic total energy (eV per atom): -7.47


Record 9
# TaSb2Rh | the Alexandria database | PBEsol | optimized geometry
data_TaSb2Rh
_chemical_formula_sum 'Ta1 Sb2 Rh1'
_space_group_name_H-M_alt 'P 1'
_space_group_IT_number 1
_space_group_name_Hall 'P 1'
_cell_length_a 3.369
_cell_length_b 3.368
_cell_length_c 6.427
_cell_angle_alpha 90.00
_cell_angle_beta 89.94
_cell_angle_gamma 90.00
loop_
_atom_site_label
_atom_site_type_symbol
_atom_site_fract_x
_atom_site_fract_y
_atom_site_fract_z
Rh1 Rh 0.500 0.500 0.500
Sb1 Sb 0.000 0.000 0.747
Sb2 Sb 0.000 0.000 0.253
Ta1 Ta 0.500 0.500 0.000
# ρ (Mg/m³): 12.01
# Formation energy (no corrections) (eV per atom): -0.006
# Electronic total energy (eV per atom): -7.46


Record 10
# Ta2SbRh | the Alexandria database | PBEsol | optimized geometry
data_Ta2SbRh
_chemical_formula_sum 'Ta2 Sb1 Rh1'
_space_group_name_H-M_alt 'P 1'
_space_group_IT_number 1
_space_group_name_Hall 'P 1'
_cell_length_a 3.524
_cell_length_b 4.471
_cell_length_c 5.206
_cell_angle_alpha 115.43
_cell_angle_beta 109.78
_cell_angle_gamma 90.00
loop_
_atom_site_label
_atom_site_type_symbol
_atom_site_fract_x
_atom_site_fract_y
_atom_site_fract_z
Rh1 Rh 0.496 0.496 0.993
Sb1 Sb 0.765 0.265 0.529
Ta1 Ta 0.000 0.000 0.000
Ta2 Ta 0.239 0.740 0.479
# ρ (Mg/m³): 14.18
# Formation energy (no corrections) (eV per atom): -0.117
# Electronic total energy (eV per atom): -9.57


Record 11
# TbSbRh | the Alexandria database | PBEsol | optimized geometry
data_TbSbRh
_chemical_formula_sum 'Tb4 Sb4 Rh4'
_space_group_name_H-M_alt 'P 1'
_space_group_IT_number 1
_space_group_name_Hall 'P 1'
_cell_length_a 4.522
_cell_length_b 7.080
_cell_length_c 7.741
_cell_angle_alpha 90.00
_cell_angle_beta 90.00
_cell_angle_gamma 90.00
loop_
_atom_site_label
_atom_site_type_symbol
_atom_site_fract_x
_atom_site_fract_y
_atom_site_fract_z
Tb1 Tb 0.750 0.490 0.200
Tb2 Tb 0.250 0.510 0.800
Tb3 Tb 0.750 0.990 0.300
Tb4 Tb 0.250 0.010 0.700
Sb1 Sb 0.750 0.808 0.909
Sb2 Sb 0.250 0.692 0.409
Sb3 Sb 0.750 0.308 0.591
Sb4 Sb 0.250 0.192 0.091
Rh1 Rh 0.250 0.803 0.082
Rh2 Rh 0.750 0.697 0.582
Rh3 Rh 0.250 0.303 0.418
Rh4 Rh 0.750 0.197 0.918
# ρ (Mg/m³): 10.28
# Formation energy (no corrections) (eV per atom): -1.031
# Electronic total energy (eV per atom): -6.93


Record 12
# Tc2SbRh | the Alexandria database | PBEsol | optimized geometry
data_Tc2SbRh
_chemical_formula_sum 'Tc2 Sb1 Rh1'
_space_group_name_H-M_alt 'P 1'
_space_group_IT_number 1
_space_group_name_Hall 'P 1'
_cell_length_a 2.935
_cell_length_b 4.800
_cell_length_c 4.800
_cell_angle_alpha 114.64
_cell_angle_beta 90.00
_cell_angle_gamma 90.00
loop_
_atom_site_label
_atom_site_type_symbol
_atom_site_fract_x
_atom_site_fract_y
_atom_site_fract_z
Rh1 Rh 0.500 0.500 0.500
Sb1 Sb 0.500 0.000 0.000
Tc1 Tc 0.000 0.000 0.500
Tc2 Tc 0.000 0.500 0.000
# ρ (Mg/m³): 11.37
# Formation energy (no corrections) (eV per atom): 0.238
# Electronic total energy (eV per atom): -8.57


Record 13
# Tc2SbRh | the Alexandria database | PBEsol | optimized geometry
data_Tc2SbRh
_chemical_formula_sum 'Tc2 Sb1 Rh1'
_space_group_name_H-M_alt 'P 1'
_space_group_IT_number 1
_space_group_name_Hall 'P 1'
_cell_length_a 3.922
_cell_length_b 3.922
_cell_length_c 4.804
_cell_angle_alpha 114.09
_cell_angle_beta 114.09
_cell_angle_gamma 90.00
loop_
_atom_site_label
_atom_site_type_symbol
_atom_site_fract_x
_atom_site_fract_y
_atom_site_fract_z
Rh1 Rh 0.500 0.500 0.000
Sb1 Sb 0.000 0.000 0.000
Tc1 Tc 0.750 0.250 0.500
Tc2 Tc 0.250 0.750 0.500
# ρ (Mg/m³): 11.58
# Formation energy (no corrections) (eV per atom): 0.106
# Electronic total energy (eV per atom): -8.70


Record 14
# Tc2Sb2Rh | the Alexandria database | PBEsol | optimized geometry
data_Tc2Sb2Rh
_chemical_formula_sum 'Tc2 Sb2 Rh1'
_space_group_name_H-M_alt 'P 1'
_space_group_IT_number 1
_space_group_name_Hall 'P 1'
_cell_length_a 3.400
_cell_length_b 3.400
_cell_length_c 8.383
_cell_angle_alpha 101.70
_cell_angle_beta 101.70
_cell_angle_gamma 90.00
loop_
_atom_site_label
_atom_site_type_symbol
_atom_site_fract_x
_atom_site_fract_y
_atom_site_fract_z
Sb1 Sb 0.399 0.399 0.797
Sb2 Sb 0.601 0.601 0.203
Rh1 Rh 0.000 0.000 0.000
Tc1 Tc 0.250 0.750 0.500
Tc2 Tc 0.750 0.250 0.500
# ρ (Mg/m³): 9.70
# Formation energy (no corrections) (eV per atom): 0.438
# Electronic total energy (eV per atom): -7.52


| no. | calculated volume (Å³ per atom) |
| --- | --- |
| 1 | 21.42 |
| 2 | 18.74 |
| 3 | 19.50 |
| 4 | 20.09 |
| 5 | 21.30 |
| 6 | 22.67 |
| 7 | 34.15 |
| 8 | 21.26 |
| 9 | 18.23 |
| 10 | 17.17 |
| 11 | 20.65 |
| 12 | 15.36 |
| 13 | 15.09 |
| 14 | 18.57 |